1 | Material: NdDy3Hg2
Method: DFT, PBE-GGA
State: optimized geometry

Cell: 5.362 9.502 8.908 Å, 125.22 90.00 106.39°
Positions (direct):
Hg (0.775, 0.550, 0.157)
Hg (0.511, 0.022, 0.852)
Hg (0.225, 0.450, 0.843)
Hg (0.489, 0.978, 0.148)
Dy (0.381, 0.763, 0.291)
Dy (0.693, 0.387, 0.386)
Dy (0.307, 0.613, 0.614)
Dy (0.936, 0.873, 0.597)
Dy (0.064, 0.127, 0.403)
Dy (0.619, 0.237, 0.709)
Nd (0.867, 0.735, 0.923)
Nd (0.133, 0.265, 0.077)

## Properties
As for the symmetry: C2/m, No. 12.



2 | Material: NdDy3Hg2
Method: DFT, PBE-GGA
State: optimized geometry

Cell: 5.122 7.186 9.320 Å, 90.00 90.00 90.00°
Positions (direct):
Hg (0.500, 0.742, 0.855)
Hg (0.000, 0.257, 0.650)
Hg (0.500, 0.242, 0.145)
Hg (0.000, 0.757, 0.350)
Dy (0.000, 0.833, 0.679)
Dy (0.000, 0.984, 0.057)
Dy (0.500, 0.668, 0.172)
Dy (0.000, 0.333, 0.321)
Dy (0.000, 0.484, 0.943)
Dy (0.500, 0.168, 0.828)
Nd (0.500, 0.015, 0.443)
Nd (0.500, 0.515, 0.557)

## Properties
As for the symmetry: Pmc2_1, No. 26.



Verdict on stability: 1 comes out at the bottom.



1 | Material: NdSmDyHg
Method: DFT, PBE-GGA
State: optimized geometry

Cell: 3.686 3.686 8.916 Å, 90.00 90.00 90.00°
Positions (direct):
Sm (0.500, 0.500, 0.791)
Hg (0.000, 0.000, 0.563)
Dy (0.500, 0.500, 0.355)
Nd (0.000, 0.000, 0.076)

## Properties
As for the symmetry: P4mm, No. 99.



2 | Material: NdSmDyHg
Method: DFT, PBE-GGA
State: optimized geometry

Cell: 5.502 5.502 5.502 Å, 60.00 60.00 60.00°
Positions (direct):
Sm (0.000, 0.000, 0.000)
Hg (0.250, 0.250, 0.250)
Dy (0.750, 0.750, 0.750)
Nd (0.500, 0.500, 0.500)

## Properties
As for the symmetry: F-43m, No. 216.



Verdict on stability: 2 comes out at the bottom.



1 | Material: NdDySnHg
Method: DFT, PBE-GGA
State: optimized geometry

Cell: 3.831 3.831 7.477 Å, 90.00 90.00 90.00°
Positions (direct):
Hg (0.000, 0.000, 0.373)
Sn (0.000, 0.000, 0.845)
Nd (0.500, 0.500, 0.109)
Dy (0.500, 0.500, 0.601)

## Properties
As for the symmetry: P4mm, No. 99.



2 | Material: NdDySnHg
Method: DFT, PBE-GGA
State: optimized geometry

Cell: 5.368 5.368 5.368 Å, 60.00 60.00 60.00°
Positions (direct):
Sn (0.000, 0.000, 0.000)
Dy (0.750, 0.750, 0.750)
Nd (0.250, 0.250, 0.250)
Hg (0.500, 0.500, 0.500)

## Properties
As for the symmetry: F-43m, No. 216.



Verdict on stability: 1 comes out at the bottom.



1 | Material: NdDyTlHg
Method: DFT, PBE-GGA
State: optimized geometry

Cell: 5.405 5.405 5.405 Å, 60.00 60.00 60.00°
Site moments in Bohr magnetons follow the coordinates.
Positions (direct):
Nd (0.250, 0.250, 0.250)  0.17
Tl (0.000, 0.000, 0.000)  -0.01
Hg (0.500, 0.500, 0.500)  0.03
Dy (0.750, 0.750, 0.750)  0.24

## Properties
As for the symmetry: F-43m, No. 216.



2 | Material: NdDyTlHg
Method: DFT, PBE-GGA
State: optimized geometry

Cell: 3.804 3.804 7.703 Å, 90.00 90.00 90.00°
Site moments in Bohr magnetons follow the coordinates.
Positions (direct):
Tl (0.000, 0.000, 0.844)  0.00
Nd (0.500, 0.500, 0.114)  0.22
Hg (0.000, 0.000, 0.375)  0.02
Dy (0.500, 0.500, 0.595)  0.09

## Properties
As for the symmetry: P4mm, No. 99.



Verdict on stability: 1 comes out at the bottom.



1 | Material: NdDyYHg
Method: DFT, PBE-GGA
State: optimized geometry

Cell: 5.472 5.472 5.472 Å, 60.00 60.00 60.00°
Positions (direct):
Y (0.750, 0.750, 0.750)
Hg (0.000, 0.000, 0.000)
Nd (0.250, 0.250, 0.250)
Dy (0.500, 0.500, 0.500)

## Properties
As for the symmetry: F-43m, No. 216.



2 | Material: NdDyYHg
Method: DFT, PBE-GGA
State: optimized geometry

Cell: 3.655 3.655 8.914 Å, 90.00 90.00 90.00°
Positions (direct):
Y (0.500, 0.500, 0.787)
Nd (0.000, 0.000, 0.073)
Dy (0.500, 0.500, 0.355)
Hg (0.000, 0.000, 0.570)

## Properties
As for the symmetry: P4mm, No. 99.



Verdict on stability: 1 comes out at the bottom.



1 | Material: Dy6NiHg2
Method: DFT, PBE-GGA
State: optimized geometry

Cell: 6.928 7.225 10.148 Å, 90.00 90.51 90.00°
Positions (direct):
Dy (0.189, 0.299, 0.047)
Dy (0.696, 0.196, 0.948)
Dy (0.304, 0.804, 0.052)
Dy (0.804, 0.696, 0.552)
Dy (0.689, 0.201, 0.547)
Dy (0.196, 0.304, 0.448)
Dy (0.391, 0.508, 0.747)
Dy (0.609, 0.492, 0.253)
Dy (0.891, 0.992, 0.247)
Dy (0.109, 0.008, 0.753)
Dy (0.311, 0.799, 0.453)
Dy (0.811, 0.701, 0.953)
Hg (0.965, 0.418, 0.753)
Hg (0.535, 0.918, 0.747)
Hg (0.465, 0.082, 0.253)
Hg (0.035, 0.582, 0.247)
Ni (0.500, 0.500, 0.000)
Ni (0.000, 0.000, 0.500)

## Properties
As for the symmetry: P2_1/c, No. 14.



2 | Material: Dy6NiHg2
Method: DFT, PBE-GGA
State: optimized geometry

Cell: 8.573 8.573 8.573 Å, 73.62 69.68 111.76°
Positions (direct):
Dy (0.330, 0.062, 0.268)
Dy (0.670, 0.938, 0.732)
Dy (0.170, 0.750, 0.080)
Dy (0.670, 0.401, 0.268)
Dy (0.830, 0.750, 0.419)
Dy (0.830, 0.250, 0.920)
Dy (0.914, 0.732, 0.818)
Dy (0.549, 0.732, 0.182)
Dy (0.086, 0.268, 0.182)
Dy (0.330, 0.599, 0.732)
Dy (0.170, 0.250, 0.581)
Dy (0.451, 0.268, 0.818)
Hg (0.854, 0.354, 0.500)
Hg (0.350, 0.000, 0.650)
Hg (0.146, 0.646, 0.500)
Hg (0.650, 0.000, 0.350)
Ni (0.500, 0.500, 0.000)
Ni (0.000, 0.000, 0.000)

## Properties
As for the symmetry: Immm, No. 71.



Verdict on stability: 2 comes out at the bottom.



1 | Material: Dy2HgO
Method: DFT, PBE-GGA
State: optimized geometry

Cell: 3.102 3.102 7.826 Å, 90.00 90.00 90.00°
Positions (direct):
O (0.500, 0.500, 0.000)
Dy (0.000, 0.000, 0.200)
Dy (0.000, 0.000, 0.800)
Hg (0.500, 0.500, 0.500)

## Properties
As for the symmetry: P4/mmm, No. 123.



2 | Material: Dy2HgO
Method: DFT, PBE-GGA
State: optimized geometry

Cell: 4.467 6.419 6.419 Å, 106.80 90.00 90.00°
Positions (direct):
Dy (0.000, 0.500, 0.000)
Dy (0.500, 0.500, 0.500)
Dy (0.000, 0.000, 0.000)
Dy (0.000, 0.000, 0.500)
O (0.000, 0.298, 0.298)
O (0.000, 0.702, 0.702)
Hg (0.500, 0.795, 0.205)
Hg (0.500, 0.205, 0.795)

## Properties
As for the symmetry: Cmmm, No. 65.



3 | Material: Dy2HgO
Method: DFT, PBE-GGA
State: optimized geometry

Cell: 3.574 3.574 7.710 Å, 76.60 76.60 60.00°
Positions (direct):
Hg (0.500, 0.500, 0.500)
Dy (0.726, 0.726, 0.822)
Dy (0.274, 0.274, 0.178)
O (0.000, 0.000, 0.000)

## Properties
As for the symmetry: R-3m, No. 166.



Verdict on stability: 1 comes out at the bottom.



1 | Material: Dy6Hg2Os
Method: DFT, PBE-GGA
State: optimized geometry

Cell: 5.075 7.096 8.559 Å, 114.49 107.22 90.00°
Positions (direct):
Hg (0.666, 0.666, 0.333)
Hg (0.334, 0.334, 0.667)
Dy (0.844, 0.602, 0.688)
Dy (0.156, 0.398, 0.312)
Dy (0.156, 0.914, 0.312)
Dy (0.500, 0.230, 0.000)
Dy (0.500, 0.770, 0.000)
Dy (0.844, 0.086, 0.688)
Os (0.000, 0.000, 0.000)

## Properties
As for the symmetry: Immm, No. 71.



2 | Material: Dy6Hg2Os
Method: DFT, PBE-GGA
State: optimized geometry

Cell: 8.553 8.553 8.553 Å, 72.96 70.75 112.17°
Positions (direct):
Dy (0.831, 0.754, 0.416)
Dy (0.831, 0.246, 0.923)
Dy (0.550, 0.733, 0.183)
Dy (0.332, 0.069, 0.263)
Dy (0.450, 0.267, 0.817)
Dy (0.668, 0.931, 0.737)
Dy (0.169, 0.754, 0.077)
Dy (0.169, 0.246, 0.584)
Dy (0.668, 0.405, 0.263)
Dy (0.084, 0.267, 0.183)
Dy (0.916, 0.733, 0.817)
Dy (0.332, 0.595, 0.737)
Hg (0.354, 0.000, 0.646)
Hg (0.147, 0.647, 0.500)
Hg (0.853, 0.353, 0.500)
Hg (0.646, 0.000, 0.354)
Os (0.500, 0.500, 0.000)
Os (0.000, 0.000, 0.000)

## Properties
As for the symmetry: Immm, No. 71.



Verdict on stability: 1 comes out at the bottom.



1 | Material: DyScHgOs
Method: DFT, PBE-GGA
State: optimized geometry

Cell: 4.885 4.885 4.885 Å, 60.00 60.00 60.00°
Positions (direct):
Dy (0.750, 0.750, 0.750)
Hg (0.500, 0.500, 0.500)
Os (0.000, 0.000, 0.000)
Sc (0.250, 0.250, 0.250)

## Properties
As for the symmetry: F-43m, No. 216.



2 | Material: DyScHgOs
Method: DFT, PBE-GGA
State: optimized geometry

Cell: 3.367 3.367 7.386 Å, 90.00 90.00 90.00°
Positions (direct):
Hg (0.000, 0.000, 0.092)
Os (0.000, 0.000, 0.552)
Sc (0.500, 0.500, 0.353)
Dy (0.500, 0.500, 0.787)

## Properties
As for the symmetry: P4mm, No. 99.



Verdict on stability: 1 comes out at the bottom.



1 | Material: DyPaHg2
Method: DFT, PBE-GGA
State: optimized geometry

Cell: 5.279 5.279 5.279 Å, 60.00 60.00 60.00°
Site moments in Bohr magnetons follow the coordinates.
Positions (direct):
Dy (0.000, 0.000, 0.000)  0.43
Hg (0.250, 0.250, 0.250)  0.04
Hg (0.750, 0.750, 0.750)  0.04
Pa (0.500, 0.500, 0.500)  1.31

## Properties
As for the symmetry: Fm-3m, No. 225.



2 | Material: DyPaHg2
Method: DFT, PBE-GGA
State: optimized geometry

Cell: 3.364 3.364 10.621 Å, 80.89 80.89 60.00°
Positions (direct):
Hg (0.248, 0.248, 0.257)
Hg (0.752, 0.752, 0.743)
Pa (0.000, 0.000, 0.000)
Dy (0.500, 0.500, 0.500)

## Properties
As for the symmetry: R-3m, No. 166.



3 | Material: DyPaHg2
Method: DFT, PBE-GGA
State: optimized geometry

Cell: 4.473 4.743 4.743 Å, 90.00 90.00 90.00°
Site moments in Bohr magnetons follow the coordinates.
Positions (direct):
Hg (0.000, 0.000, 0.500)  0.01
Hg (0.000, 0.500, 0.000)  0.01
Dy (0.500, 0.000, 0.000)  0.28
Pa (0.500, 0.500, 0.500)  0.99

## Properties
As for the symmetry: P4/mmm, No. 123.



4 | Material: DyPaHg2
Method: DFT, PBE-GGA
State: optimized geometry

Cell: 3.336 3.336 8.894 Å, 90.00 90.00 90.00°
Site moments in Bohr magnetons follow the coordinates.
Positions (direct):
Dy (0.500, 0.500, 0.000)  0.10
Pa (0.500, 0.500, 0.500)  0.82
Hg (0.000, 0.000, 0.756)  0.00
Hg (0.000, 0.000, 0.244)  0.00

## Properties
As for the symmetry: P4/mmm, No. 123.



Verdict on stability: 3 comes out at the bottom.



1 | Material: DyHg6Pb
Method: DFT, PBE-GGA
State: optimized geometry

Cell: 4.704 4.704 9.226 Å, 90.00 90.00 90.00°
Positions (direct):
Hg (0.500, 0.000, 0.259)
Hg (0.500, 0.000, 0.741)
Hg (0.500, 0.500, 0.500)
Hg (0.000, 0.500, 0.741)
Hg (0.000, 0.500, 0.259)
Hg (0.500, 0.500, 0.000)
Dy (0.000, 0.000, 0.500)
Pb (0.000, 0.000, 0.000)

## Properties
As for the symmetry: P4/mmm, No. 123.



2 | Material: DyHg6Pb
Method: DFT, PBE-GGA
State: optimized geometry

Cell: 6.255 6.255 8.667 Å, 68.85 68.85 60.00°
Positions (direct):
Hg (0.072, 0.072, 0.302)
Hg (0.072, 0.555, 0.302)
Hg (0.555, 0.072, 0.302)
Hg (0.928, 0.928, 0.698)
Hg (0.445, 0.928, 0.698)
Hg (0.928, 0.445, 0.698)
Dy (0.000, 0.000, 0.000)
Pb (0.500, 0.500, 0.500)

## Properties
As for the symmetry: R-3m, No. 166.



Verdict on stability: 2 comes out at the bottom.